(1)
{
  "formula": "La5Pm2SmEr",
  "functional": "PBE",
  "state": "optimized geometry",
  "cell": [[-4.5231, 4.5231, 7.8597], [4.5231, -4.5231, 7.8597], [4.5231, 4.5231, -7.8597]],
  "species": ["La", "La", "La", "La", "La", "La", "La", "La", "La", "La", "Pm", "Pm", "Pm", "Pm", "Sm", "Sm", "Er", "Er"],
  "frac_coords": [[0.0000, 0.0000, 0.0000], [0.0700, 0.5700, 0.9224], [0.1476, 0.0700, 0.5000], [0.3524, 0.8524, 0.9224], [0.4300, 0.3524, 0.5000], [0.5000, 0.5000, 0.0000], [0.5700, 0.6476, 0.5000], [0.6476, 0.1476, 0.0776], [0.8524, 0.9300, 0.5000], [0.9300, 0.4300, 0.0776], [0.1152, 0.3848, 0.5000], [0.3848, 0.8848, 0.2695], [0.6152, 0.1152, 0.7305], [0.8848, 0.6152, 0.5000], [0.2500, 0.2500, 0.0000], [0.7500, 0.7500, 0.0000], [0.2500, 0.7500, 0.5000], [0.7500, 0.2500, 0.5000]]
}

***

(2)
{
  "formula": "La2PmSm3Er6",
  "functional": "PBE",
  "state": "optimized geometry",
  "cell": [[3.1183, -5.3986, 0.0000], [3.1183, 5.3986, 0.0000], [-2.0731, 0.0000, 11.5909]],
  "species": ["La", "La", "Pm", "Sm", "Sm", "Sm", "Er", "Er", "Er", "Er", "Er", "Er"],
  "frac_coords": [[0.1666, 0.8334, 0.0000], [0.8334, 0.1666, 0.0000], [0.5000, 0.5000, 0.0000], [0.0000, 0.0000, 0.5000], [0.3334, 0.6666, 0.5000], [0.6666, 0.3334, 0.5000], [0.0829, 0.4155, 0.7474], [0.2520, 0.2520, 0.2526], [0.4155, 0.0829, 0.7474], [0.5845, 0.9171, 0.2526], [0.7480, 0.7480, 0.7474], [0.9171, 0.5845, 0.2526]]
}

***

(3)
{
  "formula": "LaPm6Sm2Er",
  "functional": "PBE",
  "state": "optimized geometry",
  "cell": [[4.6022, -7.6968, 0.0000], [4.6022, 7.6968, 0.0000], [-1.5356, 0.0000, 9.7655]],
  "species": ["La", "La", "Pm", "Pm", "Pm", "Pm", "Pm", "Pm", "Pm", "Pm", "Pm", "Pm", "Pm", "Pm", "Sm", "Sm", "Sm", "Sm", "Er", "Er"],
  "frac_coords": [[0.0956, 0.9044, 0.7500], [0.9044, 0.0956, 0.2500], [0.0014, 0.7924, 0.3781], [0.0754, 0.5258, 0.1828], [0.2076, 0.9986, 0.1219], [0.2550, 0.6181, 0.5556], [0.3819, 0.7450, 0.9444], [0.4742, 0.9246, 0.3172], [0.5258, 0.0754, 0.6828], [0.6181, 0.2550, 0.0556], [0.7450, 0.3819, 0.4444], [0.7924, 0.0014, 0.8781], [0.9246, 0.4742, 0.8172], [0.9986, 0.2076, 0.6219], [0.2100, 0.3098, 0.9573], [0.3098, 0.2100, 0.4573], [0.6902, 0.7900, 0.5427], [0.7900, 0.6902, 0.0427], [0.4764, 0.5236, 0.2500], [0.5236, 0.4764, 0.7500]]
}

***

(4)
{
  "formula": "La2PmSm6Er3",
  "functional": "PBE",
  "state": "optimized geometry",
  "cell": [[3.1382, -5.4386, 0.0000], [3.1382, 5.4386, 0.0000], [-2.0964, 0.0000, 11.8119]],
  "species": ["La", "La", "Pm", "Sm", "Sm", "Sm", "Sm", "Sm", "Sm", "Er", "Er", "Er"],
  "frac_coords": [[0.1667, 0.8333, 0.0000], [0.8333, 0.1667, 0.0000], [0.5000, 0.5000, 0.0000], [0.0814, 0.4142, 0.7437], [0.2529, 0.2529, 0.2562], [0.4142, 0.0814, 0.7437], [0.5858, 0.9186, 0.2563], [0.7471, 0.7471, 0.7438], [0.9186, 0.5858, 0.2563], [0.0000, 0.0000, 0.5000], [0.3336, 0.6664, 0.5000], [0.6664, 0.3336, 0.5000]]
}

***

(5)
{
  "formula": "La2Pm3Sm6Er",
  "functional": "PBE",
  "state": "optimized geometry",
  "cell": [[3.1753, -5.4891, 0.0000], [3.1753, 5.4891, 0.0000], [-0.0039, 0.0000, 11.7834]],
  "species": ["La", "La", "Pm", "Pm", "Pm", "Sm", "Sm", "Sm", "Sm", "Sm", "Sm", "Er"],
  "frac_coords": [[0.1668, 0.8332, 0.0000], [0.8332, 0.1668, 0.0000], [0.1668, 0.8332, 0.5000], [0.5000, 0.5000, 0.5000], [0.8332, 0.1668, 0.5000], [0.1681, 0.4988, 0.7495], [0.1712, 0.1712, 0.2505], [0.4988, 0.1681, 0.7495], [0.5012, 0.8319, 0.2505], [0.8288, 0.8288, 0.7495], [0.8319, 0.5012, 0.2505], [0.5000, 0.5000, 0.0000]]
}

***

(6)
{
  "formula": "La2Pm6SmEr",
  "functional": "PBE",
  "state": "optimized geometry",
  "cell": [[4.5910, -7.6328, 0.0000], [4.5910, 7.6328, 0.0000], [-1.7379, 0.0000, 9.9124]],
  "species": ["La", "La", "La", "La", "Pm", "Pm", "Pm", "Pm", "Pm", "Pm", "Pm", "Pm", "Pm", "Pm", "Pm", "Pm", "Sm", "Sm", "Er", "Er"],
  "frac_coords": [[0.1945, 0.2920, 0.0410], [0.2920, 0.1945, 0.5410], [0.7080, 0.8055, 0.4590], [0.8055, 0.7080, 0.9590], [0.0182, 0.5792, 0.1890], [0.1216, 0.7402, 0.5559], [0.2598, 0.8784, 0.9441], [0.2966, 0.5033, 0.3795], [0.4208, 0.9818, 0.3110], [0.4967, 0.7034, 0.1205], [0.5033, 0.2966, 0.8795], [0.5792, 0.0182, 0.6890], [0.7034, 0.4967, 0.6205], [0.7402, 0.1216, 0.0559], [0.8784, 0.2598, 0.4441], [0.9818, 0.4208, 0.8110], [0.0127, 0.9873, 0.2500], [0.9873, 0.0127, 0.7500], [0.4055, 0.5945, 0.7500], [0.5945, 0.4055, 0.2500]]
}

***

(7)
{
  "formula": "La6Pm2SmEr",
  "functional": "PBE",
  "state": "optimized geometry",
  "cell": [[5.7716, -3.4963, 0.0000], [5.7716, 3.4963, 0.0000], [-2.8233, 0.0000, 8.8484]],
  "species": ["La", "La", "La", "La", "La", "La", "Pm", "Pm", "Sm", "Er"],
  "frac_coords": [[0.0693, 0.5347, 0.1950], [0.1278, 0.1278, 0.4212], [0.4653, 0.9307, 0.8050], [0.5347, 0.0693, 0.1950], [0.8722, 0.8722, 0.5788], [0.9307, 0.4653, 0.8050], [0.4269, 0.4269, 0.8303], [0.5731, 0.5731, 0.1697], [0.5000, 0.5000, 0.5000], [0.0000, 0.0000, 0.0000]]
}

***

(8)
{
  "formula": "La2Pm5SmEr",
  "functional": "PBE",
  "state": "optimized geometry",
  "cell": [[-4.3566, 4.3566, 8.2314], [4.3566, -4.3566, 8.2314], [4.3566, 4.3566, -8.2314]],
  "species": ["La", "La", "La", "La", "Pm", "Pm", "Pm", "Pm", "Pm", "Pm", "Pm", "Pm", "Pm", "Pm", "Sm", "Sm", "Er", "Er"],
  "frac_coords": [[0.1201, 0.6201, 0.7403], [0.3799, 0.1201, 0.5000], [0.6201, 0.8799, 0.5000], [0.8799, 0.3799, 0.2597], [0.0000, 0.0000, 0.0000], [0.0761, 0.1375, 0.5000], [0.1375, 0.6375, 0.0614], [0.3625, 0.4239, 0.5000], [0.4239, 0.9239, 0.0614], [0.5000, 0.5000, 0.0000], [0.5761, 0.0761, 0.9386], [0.6375, 0.5761, 0.5000], [0.8625, 0.3625, 0.9386], [0.9239, 0.8625, 0.5000], [0.2500, 0.2500, 0.0000], [0.7500, 0.7500, 0.0000], [0.2500, 0.7500, 0.5000], [0.7500, 0.2500, 0.5000]]
}

***

(9)
{
  "formula": "La2Pm4SmEr",
  "functional": "PBE",
  "state": "optimized geometry",
  "cell": [[5.1529, 0.0000, 0.0000], [0.0000, 5.1717, 0.0000], [-0.0165, 0.0000, 10.3781]],
  "species": ["La", "La", "Pm", "Pm", "Pm", "Pm", "Sm", "Er"],
  "frac_coords": [[0.0000, 0.0000, 0.0000], [0.5000, 0.5000, 0.5000], [0.9997, 0.5000, 0.2481], [0.0003, 0.5000, 0.7519], [0.5002, 0.0000, 0.2491], [0.4998, 0.0000, 0.7509], [0.0000, 0.0000, 0.5000], [0.5000, 0.5000, 0.0000]]
}

***

(10)
{
  "formula": "LaPmErSn",
  "functional": "PBE",
  "state": "optimized geometry",
  "cell": [[0.0000, 3.9248, 3.9248], [3.9248, 0.0000, 3.9248], [3.9248, 3.9248, 0.0000]],
  "species": ["La", "Pm", "Er", "Sn"],
  "frac_coords": [[0.0000, 0.0000, 0.0000], [0.5000, 0.5000, 0.5000], [0.2500, 0.2500, 0.2500], [0.7500, 0.7500, 0.7500]]
}

***

(11)
{
  "formula": "La5Tb2PmEr",
  "functional": "PBE",
  "state": "optimized geometry",
  "cell": [[-4.7656, 4.7656, 7.1139], [4.7656, -4.7656, 7.1139], [4.7656, 4.7656, -7.1139]],
  "species": ["La", "La", "La", "La", "La", "La", "La", "La", "La", "La", "Tb", "Tb", "Tb", "Tb", "Pm", "Pm", "Er", "Er"],
  "frac_coords": [[0.0000, 0.0000, 0.0000], [0.0671, 0.5671, 0.9039], [0.1632, 0.0671, 0.5000], [0.3368, 0.8368, 0.9039], [0.4329, 0.3368, 0.5000], [0.5000, 0.5000, 0.0000], [0.5671, 0.6632, 0.5000], [0.6632, 0.1632, 0.0961], [0.8368, 0.9329, 0.5000], [0.9329, 0.4329, 0.0961], [0.1084, 0.3916, 0.5000], [0.3916, 0.8916, 0.2831], [0.6084, 0.1084, 0.7169], [0.8916, 0.6084, 0.5000], [0.2500, 0.2500, 0.0000], [0.7500, 0.7500, 0.0000], [0.2500, 0.7500, 0.5000], [0.7500, 0.2500, 0.5000]]
}

***

(12)
{
  "formula": "La3Tb2PmEr6",
  "functional": "PBE",
  "state": "optimized geometry",
  "cell": [[3.1147, -5.3941, 0.0000], [3.1147, 5.3941, 0.0000], [-2.0723, 0.0000, 11.6029]],
  "species": ["La", "La", "La", "Tb", "Tb", "Pm", "Er", "Er", "Er", "Er", "Er", "Er"],
  "frac_coords": [[0.0000, 0.0000, 0.0000], [0.3333, 0.6667, 0.0000], [0.6667, 0.3333, 0.0000], [0.1668, 0.8332, 0.5000], [0.8332, 0.1668, 0.5000], [0.5000, 0.5000, 0.5000], [0.0845, 0.4182, 0.2542], [0.2481, 0.2481, 0.7458], [0.4182, 0.0845, 0.2542], [0.5818, 0.9155, 0.7458], [0.7519, 0.7519, 0.2542], [0.9155, 0.5818, 0.7458]]
}

***

no.,E_form (kcal/mol of atoms),electronic total energy (eV/atom)
1,6.314,-4.55
2,0.386,-4.66
3,2.719,-4.63
4,0.515,-4.70
5,0.077,-4.75
6,2.591,-4.65
7,4.191,-4.65
8,5.762,-4.52
9,0.531,-4.74
10,-6.214,-4.83
11,6.618,-4.51
12,0.454,-4.66